# PRuAu2

A geometry-optimized PRuAu2 structure (PBE-GGA, Alexandria via LeMat-Bulk).

For the total energy, the calculation gives -19.78 eV/cell. As for the energy of formation: 141 kJ/mol of formula units. For the size of the total moment, the calculation gives 0.358 Bohr magnetons per cell.

It has space group P2/m (No. 10), with a = 3.0387 Å, b = 4.8876 Å, c = 4.6283 Å, α = 90.00°, β = 94.07° and γ = 90.00°. The distinct sites, in fractional coordinates, are P at (0.0000, 0.0000, 0.0000), Ru at (0.0000, 0.0000, 0.5000) and Au at (0.2628, 0.5000, 0.2492).